# Ni14RuRh | Alexandria via LeMat-Bulk | PBE | relaxed
data_Ni14RuRh
_chemical_formula_sum 'Ni28 Ru2 Rh2'
_symmetry_space_group_name_H-M 'A m m 2'
_symmetry_Int_Tables_number 38
_symmetry_space_group_name_Hall 'A 2 -2'
_cell_length_a 8.2377
_cell_length_b 5.0743
_cell_length_c 8.7333
_cell_angle_alpha 90.00
_cell_angle_beta 90.00
_cell_angle_gamma 90.00
loop_
_atom_site_label
_atom_site_type_symbol
_atom_site_fract_x
_atom_site_fract_y
_atom_site_fract_z
_atom_site_occupancy
Ni1 Ni 0.0000 0.0000 0.0000 1
Ni2 Ni 0.0000 0.0000 0.4995 1
Ni3 Ni 0.0000 0.2497 0.2496 1
Ni4 Ni 0.2454 0.0000 0.6661 1
Ni5 Ni 0.2446 0.2489 0.4181 1
Ni6 Ni 0.2473 0.0000 0.1668 1
Ni7 Ni 0.5000 0.2495 0.0851 1
Ru1 Ru 0.5000 0.0000 0.3367 1
Rh1 Rh 0.5000 0.0000 0.8362 1
# Energy, eV per atom: -6.045
# Energy relative to the elements, eV/atom: 0.0527
# Magnetic moment, Bohr magnetons per cell: 20.2

=====

# NiRuRh2 | Alexandria via LeMat-Bulk | PBE | relaxed
data_NiRuRh2
_chemical_formula_sum 'Ni4 Ru4 Rh8'
_symmetry_space_group_name_H-M 'F -4 3 m'
_symmetry_Int_Tables_number 216
_symmetry_space_group_name_Hall 'F -4 2 3'
_cell_length_a 6.0308
_cell_length_b 6.0308
_cell_length_c 6.0308
_cell_angle_alpha 90.00
_cell_angle_beta 90.00
_cell_angle_gamma 90.00
loop_
_atom_site_label
_atom_site_type_symbol
_atom_site_fract_x
_atom_site_fract_y
_atom_site_fract_z
_atom_site_occupancy
Ni1 Ni 0.0000 0.0000 0.0000 1
Ru1 Ru 0.2500 0.2500 0.2500 1
Rh1 Rh 0.0000 0.0000 0.5000 1
Rh2 Rh 0.2500 0.2500 0.7500 1
# Distance to the lowest polymorph of the same formula, eV/f.u.: 1.22
# Energy, eV per atom: -7.104
# Energy relative to the elements, eV/atom: 0.3362
# Magnetic moment, Bohr magnetons per cell: 3.6

=====

# NiRuRh2 | Alexandria via LeMat-Bulk | PBE | relaxed
data_NiRuRh2
_chemical_formula_sum 'Ni4 Ru4 Rh8'
_symmetry_space_group_name_H-M 'F m -3 m'
_symmetry_Int_Tables_number 225
_symmetry_space_group_name_Hall '-F 4 2 3'
_cell_length_a 6.0518
_cell_length_b 6.0518
_cell_length_c 6.0518
_cell_angle_alpha 90.00
_cell_angle_beta 90.00
_cell_angle_gamma 90.00
loop_
_atom_site_label
_atom_site_type_symbol
_atom_site_fract_x
_atom_site_fract_y
_atom_site_fract_z
_atom_site_occupancy
Ni1 Ni 0.0000 0.0000 0.0000 1
Ru1 Ru 0.0000 0.0000 0.5000 1
Rh1 Rh 0.2500 0.2500 0.2500 1
# Distance to the lowest polymorph of the same formula, eV/f.u.: 1.12
# Energy, eV per atom: -7.129
# Energy relative to the elements, eV/atom: 0.3107
# Magnetic moment, Bohr magnetons per cell: 9.3

=====

# Ni2RuRh8 | Alexandria via LeMat-Bulk | PBE | relaxed
data_Ni2RuRh8
_chemical_formula_sum 'Ni4 Ru2 Rh16'
_symmetry_space_group_name_H-M 'C m m m'
_symmetry_Int_Tables_number 65
_symmetry_space_group_name_Hall '-C 2 2'
_cell_length_a 7.8137
_cell_length_b 10.1231
_cell_length_c 3.9743
_cell_angle_alpha 90.00
_cell_angle_beta 90.00
_cell_angle_gamma 90.00
loop_
_atom_site_label
_atom_site_type_symbol
_atom_site_fract_x
_atom_site_fract_y
_atom_site_fract_z
_atom_site_occupancy
Ni1 Ni 0.0000 0.1140 0.0000 1
Ru1 Ru 0.0000 0.5000 0.5000 1
Rh1 Rh 0.0000 0.2435 0.5000 1
Rh2 Rh 0.1643 0.0000 0.5000 1
Rh3 Rh 0.1692 0.3687 0.0000 1
# Energy, eV per atom: -7.012
# Energy relative to the elements, eV/atom: 0.2289
# Magnetic moment, Bohr magnetons per cell: 0.0

=====

# NiRuRh | Alexandria via LeMat-Bulk | PBE | relaxed
data_NiRuRh
_chemical_formula_sum 'Ni4 Ru4 Rh4'
_symmetry_space_group_name_H-M 'C 1 2/c 1'
_symmetry_Int_Tables_number 15
_symmetry_space_group_name_Hall '-C 2yc'
_cell_length_a 4.5624
_cell_length_b 7.9156
_cell_length_c 4.6312
_cell_angle_alpha 90.00
_cell_angle_beta 110.08
_cell_angle_gamma 90.00
loop_
_atom_site_label
_atom_site_type_symbol
_atom_site_fract_x
_atom_site_fract_y
_atom_site_fract_z
_atom_site_occupancy
Ni1 Ni 0.0000 0.0833 0.2500 1
Ru1 Ru 0.0000 0.4213 0.2500 1
Rh1 Rh 0.0000 0.2453 0.7500 1
# Distance to the lowest polymorph of the same formula, eV/f.u.: 0.06
# Energy, eV per atom: -7.409
# Energy relative to the elements, eV/atom: 0.0609
# Magnetic moment, Bohr magnetons per cell: 0.0

=====

# NiRuRh4 | Alexandria via LeMat-Bulk | PBE | relaxed
data_NiRuRh4
_chemical_formula_sum 'Ni1 Ru1 Rh4'
_symmetry_space_group_name_H-M 'P m m m'
_symmetry_Int_Tables_number 47
_symmetry_space_group_name_Hall '-P 2 2'
_cell_length_a 2.7027
_cell_length_b 3.7843
_cell_length_c 8.0531
_cell_angle_alpha 90.00
_cell_angle_beta 90.00
_cell_angle_gamma 90.00
loop_
_atom_site_label
_atom_site_type_symbol
_atom_site_fract_x
_atom_site_fract_y
_atom_site_fract_z
_atom_site_occupancy
Ni1 Ni 0.0000 0.0000 0.0000 1
Ru1 Ru 0.5000 0.5000 0.5000 1
Rh1 Rh 0.0000 0.0000 0.3325 1
Rh2 Rh 0.5000 0.5000 0.1616 1
# Distance to the lowest polymorph of the same formula, eV/f.u.: 0.00
# Energy, eV per atom: -7.354
# Energy relative to the elements, eV/atom: 0.0563
# Magnetic moment, Bohr magnetons per cell: 0.5

=====

# Ni2RuRh | Alexandria via LeMat-Bulk | PBE | relaxed
data_Ni2RuRh
_chemical_formula_sum 'Ni4 Ru2 Rh2'
_symmetry_space_group_name_H-M 'C m m m'
_symmetry_Int_Tables_number 65
_symmetry_space_group_name_Hall '-C 2 2'
_cell_length_a 5.2639
_cell_length_b 7.2419
_cell_length_c 2.6347
_cell_angle_alpha 90.00
_cell_angle_beta 90.00
_cell_angle_gamma 90.00
loop_
_atom_site_label
_atom_site_type_symbol
_atom_site_fract_x
_atom_site_fract_y
_atom_site_fract_z
_atom_site_occupancy
Ni1 Ni 0.2500 0.2500 0.0000 1
Ru1 Ru 0.0000 0.0000 0.5000 1
Rh1 Rh 0.0000 0.5000 0.5000 1
# Distance to the lowest polymorph of the same formula, eV/f.u.: 0.27
# Energy, eV per atom: -6.935
# Energy relative to the elements, eV/atom: 0.1124
# Magnetic moment, Bohr magnetons per cell: 0.0

=====

# Ni4RuRh | Alexandria via LeMat-Bulk | PBE | relaxed
data_Ni4RuRh
_chemical_formula_sum 'Ni16 Ru4 Rh4'
_symmetry_space_group_name_H-M 'C m c m'
_symmetry_Int_Tables_number 63
_symmetry_space_group_name_Hall '-C 2c 2'
_cell_length_a 5.0607
_cell_length_b 14.1451
_cell_length_c 4.0716
_cell_angle_alpha 90.00
_cell_angle_beta 90.00
_cell_angle_gamma 90.00
loop_
_atom_site_label
_atom_site_type_symbol
_atom_site_fract_x
_atom_site_fract_y
_atom_site_fract_z
_atom_site_occupancy
Ni1 Ni 0.2486 0.0416 0.2500 1
Ni2 Ni 0.2498 0.2082 0.2500 1
Ru1 Ru 0.0000 0.1263 0.7500 1
Rh1 Rh 0.0000 0.3759 0.2500 1
# Distance to the lowest polymorph of the same formula, eV/f.u.: 0.03
# Energy, eV per atom: -6.485
# Energy relative to the elements, eV/atom: 0.1403
# Magnetic moment, Bohr magnetons per cell: 13.9

=====

# NiRuRh2 | Alexandria via LeMat-Bulk | PBE | relaxed
data_NiRuRh2
_chemical_formula_sum 'Ni1 Ru1 Rh2'
_symmetry_space_group_name_H-M 'P 4/m m m'
_symmetry_Int_Tables_number 123
_symmetry_space_group_name_Hall '-P 4 2'
_cell_length_a 3.7929
_cell_length_b 3.7929
_cell_length_c 3.7520
_cell_angle_alpha 90.00
_cell_angle_beta 90.00
_cell_angle_gamma 90.00
loop_
_atom_site_label
_atom_site_type_symbol
_atom_site_fract_x
_atom_site_fract_y
_atom_site_fract_z
_atom_site_occupancy
Ni1 Ni 0.0000 0.0000 0.0000 1
Ru1 Ru 0.5000 0.5000 0.0000 1
Rh1 Rh 0.0000 0.5000 0.5000 1
# Distance to the lowest polymorph of the same formula, eV/f.u.: 0.36
# Energy, eV per atom: -7.318
# Energy relative to the elements, eV/atom: 0.1225
# Magnetic moment, Bohr magnetons per cell: 1.6

=====

# Ni2Ru2Rh5 | Alexandria via LeMat-Bulk | PBE | relaxed
data_Ni2Ru2Rh5
_chemical_formula_sum 'Ni4 Ru4 Rh10'
_symmetry_space_group_name_H-M 'C 1 2/m 1'
_symmetry_Int_Tables_number 12
_symmetry_space_group_name_Hall '-C 2y'
_cell_length_a 16.8446
_cell_length_b 2.6584
_cell_length_c 6.5051
_cell_angle_alpha 90.00
_cell_angle_beta 111.81
_cell_angle_gamma 90.00
loop_
_atom_site_label
_atom_site_type_symbol
_atom_site_fract_x
_atom_site_fract_y
_atom_site_fract_z
_atom_site_occupancy
Ni1 Ni 0.1556 0.0000 0.1843 1
Ru1 Ru 0.0607 0.5000 0.3872 1
Rh1 Rh 0.0000 0.0000 0.0000 1
Rh2 Rh 0.0901 0.0000 0.7621 1
Rh3 Rh 0.2110 0.0000 0.6111 1
# Energy, eV per atom: -7.064
# Energy relative to the elements, eV/atom: 0.3659
# Magnetic moment, Bohr magnetons per cell: 0.0

=====

# NiRuRh2 | Alexandria via LeMat-Bulk | PBE | relaxed
data_NiRuRh2
_chemical_formula_sum 'Ni2 Ru2 Rh4'
_symmetry_space_group_name_H-M 'I 4/m m m'
_symmetry_Int_Tables_number 139
_symmetry_space_group_name_Hall '-I 4 2'
_cell_length_a 3.7505
_cell_length_b 3.7505
_cell_length_c 7.6124
_cell_angle_alpha 90.00
_cell_angle_beta 90.00
_cell_angle_gamma 90.00
loop_
_atom_site_label
_atom_site_type_symbol
_atom_site_fract_x
_atom_site_fract_y
_atom_site_fract_z
_atom_site_occupancy
Ni1 Ni 0.0000 0.0000 0.0000 1
Ru1 Ru 0.0000 0.0000 0.5000 1
Rh1 Rh 0.0000 0.5000 0.2500 1
# Distance to the lowest polymorph of the same formula, eV/f.u.: 0.06
# Energy, eV per atom: -7.394
# Energy relative to the elements, eV/atom: 0.0464
# Magnetic moment, Bohr magnetons per cell: 0.0

=====

# NiRu4Rh6 | Alexandria via LeMat-Bulk | PBE | relaxed
data_NiRu4Rh6
_chemical_formula_sum 'Ni2 Ru8 Rh12'
_symmetry_space_group_name_H-M 'I -4 2 m'
_symmetry_Int_Tables_number 121
_symmetry_space_group_name_Hall 'I -4 2'
_cell_length_a 6.6145
_cell_length_b 6.6145
_cell_length_c 8.5367
_cell_angle_alpha 90.00
_cell_angle_beta 90.00
_cell_angle_gamma 90.00
loop_
_atom_site_label
_atom_site_type_symbol
_atom_site_fract_x
_atom_site_fract_y
_atom_site_fract_z
_atom_site_occupancy
Ni1 Ni 0.0000 0.0000 0.0000 1
Ru1 Ru 0.1766 0.1766 0.5638 1
Rh1 Rh 0.0000 0.5000 0.0000 1
Rh2 Rh 0.1422 0.1422 0.2623 1
# Energy, eV per atom: -7.126
# Energy relative to the elements, eV/atom: 0.7823
# Magnetic moment, Bohr magnetons per cell: 0.0